Entry 1:
CeHfZr, relaxed, DFT GGA-PBE; total magnetic moment = 0.00 μB/f.u.; DFT formation energy = 0.1555 eV/atom; final energy = -7.99 eV per atom
1.0
-2.963 -1.192 0.479
1.960 -3.581 3.210
-1.546 4.593 1.867
Ce Zr Hf
1 1 1
Direct
0.668 0.667 0.333
0.125 0.000 0.000
0.207 0.333 0.667

Entry 2:
Sr2ErTl4, relaxed, DFT GGA-PBE; total magnetic moment = 0.00 μB/f.u.; DFT formation energy = -0.2653 eV/atom; final energy = -2.75 eV per atom
1.0
-4.302 -0.449 -3.318
3.329 0.012 -4.317
1.004 -7.524 4.196
Tl Sr Er
4 2 1
Direct
0.104 0.604 0.208
0.604 0.104 0.208
0.896 0.396 0.792
0.396 0.896 0.792
0.747 0.747 0.493
0.253 0.253 0.507
0.000 0.000 0.000

Entry 3:
Pm3Dy5Se12, relaxed, DFT GGA-PBE; E_form (uncorrected) = -1.701 eV per atom; total magnetic moment = 0.00 μB/f.u.; final energy = -5.66 eV per atom
1.0
14.694 0.000 0.000
-4.898 13.854 0.000
-4.898 -6.927 11.998
Se Pm Dy
48 12 20
Direct
0.674 0.453 0.583
0.583 0.953 0.674
0.130 0.408 0.083
0.583 0.630 0.408
0.408 0.278 0.326
0.417 0.047 0.326
0.826 0.908 0.278
0.370 0.953 0.778
0.722 0.592 0.174
0.722 0.130 0.047
0.630 0.583 0.908
0.778 0.453 0.370
0.674 0.222 0.592
0.417 0.370 0.592
0.453 0.778 0.870
0.222 0.547 0.630
0.547 0.222 0.130
0.092 0.917 0.370
0.592 0.722 0.674
0.917 0.092 0.870
0.326 0.547 0.417
0.326 0.778 0.408
0.130 0.722 0.547
0.908 0.083 0.630
0.953 0.370 0.278
0.870 0.592 0.917
0.630 0.047 0.222
0.370 0.417 0.092
0.083 0.174 0.453
0.592 0.870 0.417
0.870 0.278 0.453
0.408 0.130 0.583
0.278 0.870 0.953
0.047 0.630 0.722
0.278 0.408 0.826
0.953 0.583 0.174
0.092 0.174 0.222
0.917 0.826 0.547
0.778 0.326 0.908
0.908 0.826 0.778
0.174 0.083 0.953
0.453 0.674 0.083
0.174 0.092 0.722
0.826 0.917 0.047
0.547 0.326 0.917
0.222 0.674 0.092
0.083 0.908 0.130
0.047 0.417 0.826
0.125 0.875 0.750
0.375 0.625 0.250
0.750 0.875 0.625
0.250 0.625 0.875
0.750 0.375 0.125
0.375 0.750 0.625
0.625 0.375 0.750
0.125 0.250 0.875
0.875 0.125 0.250
0.875 0.750 0.125
0.250 0.125 0.375
0.625 0.250 0.375
0.125 0.750 0.375
0.500 0.500 0.500
0.250 0.875 0.125
0.750 0.125 0.875
0.125 0.375 0.250
0.750 0.625 0.375
0.250 0.375 0.625
0.375 0.250 0.125
0.375 0.125 0.750
0.875 0.625 0.750
0.000 0.500 0.000
0.500 0.000 0.500
0.500 0.500 0.000
0.875 0.250 0.625
0.500 0.000 0.000
0.000 0.000 0.500
0.625 0.750 0.875
0.625 0.875 0.250
0.000 0.500 0.500
0.000 0.000 0.000